Arrangement 1

Be2Re | PBEsol | relaxed

The density is 11.67 Mg/m³. As for the spin magnetization: 0.000 μB per cell.

The structure belongs to space group Fd-3m (No. 227, origin choice 2); the cell edges are 6.1486, 6.1486 and 6.1486 Å and the angles 90.00°, 90.00° and 90.00°. Symmetry generates all atoms from Be at (0.0000, 0.0000, 0.0000) and Re at (0.1250, 0.1250, 0.6250).

=====

Arrangement 2

Be2Re | PBEsol | relaxed

The density is 11.03 Mg/m³. As for the spin magnetization: 0.000 μB per cell.

The structure belongs to space group I4/mmm (No. 139); the cell edges are 2.7339, 2.7339 and 8.2262 Å and the angles 90.00°, 90.00° and 90.00°. Symmetry generates all atoms from Be at (0.0000, 0.0000, 0.1833) and Re at (0.0000, 0.0000, 0.5000).

=====

arrangement 1 is the most stable structure; the next one sits 45.3 kJ/mol of atoms above it.

=====

Arrangement 1

Be2Re | PBEsol | relaxed

The density is 11.68 Mg/m³. As for the spin magnetization: 0.000 μB per cell.

The structure belongs to space group P6_3/mmc (No. 194); the cell edges are 4.3467, 4.3467 and 14.2005 Å and the angles 90.00°, 90.00° and 120.00°. Symmetry generates all atoms from Be at (0.0000, 0.5000, 0.0000), Be at (0.1636, 0.3273, 0.2500), Be at (0.3333, 0.6667, 0.1253), Re at (0.0000, 0.0000, 0.0945) and Re at (0.3333, 0.6667, 0.6576).

=====

Arrangement 2

Be2Re | PBEsol | relaxed

The density is 10.95 Mg/m³. As for the spin magnetization: 0.000 μB per cell.

The structure belongs to space group Cm (No. 8); the cell edges are 8.2961, 3.1962 and 4.9239 Å and the angles 90.00°, 108.48° and 90.00°. Symmetry generates all atoms from Be at (0.0000, 0.0000, 0.0000), Be at (0.0241, 0.0000, 0.4981), Be at (0.1889, 0.5000, 0.3606), Be at (0.3273, 0.0000, 0.6649), Re at (0.1488, 0.5000, 0.8293) and Re at (0.3651, 0.0000, 0.1958).

=====

Arrangement 3

Be2Re | PBEsol | relaxed

The density is 11.05 Mg/m³. As for the spin magnetization: 0.000 μB per cell.

The structure belongs to space group Cmcm (No. 63); the cell edges are 3.2154, 11.8708 and 3.2177 Å and the angles 90.00°, 90.00° and 90.00°. Symmetry generates all atoms from Be at (0.0000, 0.1144, 0.2500), Be at (0.0000, 0.2499, 0.7500) and Re at (0.0000, 0.4126, 0.2500).

=====

arrangement 1 is the most stable structure; the next one sits 30.1 kJ/mol of atoms above it.